[1]
Computed, not measured: a relaxed structure of NaAlH5 at the PBE-GGA level of DFT.

Cell: 5.6069 5.6069 6.3528 Å, 123.81 123.81 68.57°
With the nearest neighbours (Å) after each atom.
Fractional positions:
Na1 0.2062 0.7938 0.7500  9 H 2.28-2.46
Na2 0.7938 0.2062 0.2500  9 H 2.28-2.46
Al1 0.0000 0.5000 0.0000  6 H 1.71-1.80
Al2 0.5000 0.0000 0.5000  6 H 1.71-1.80
H1 0.0755 0.4531 0.2765  1 H 1.63, 1 Al 1.71
H2 0.1648 0.8352 0.2500  2 Al 1.80
H3 0.2976 0.3129 0.4930  1 H 1.63, 1 Al 1.72
H4 0.3129 0.2976 0.9930  1 H 1.63, 1 Al 1.72
H5 0.4531 0.0755 0.7765  1 H 1.63, 1 Al 1.71
H6 0.5469 0.9245 0.2235  1 H 1.63, 1 Al 1.71
H7 0.6871 0.7024 0.0070  1 H 1.63, 1 Al 1.72
H8 0.7024 0.6871 0.5070  1 H 1.63, 1 Al 1.72
H9 0.8352 0.1648 0.7500  2 Al 1.80
H10 0.9245 0.5469 0.7235  1 H 1.63, 1 Al 1.71

Summary:
**VASP energy**: -2.970 eV/atom

---

[2]
Computed, not measured: a relaxed structure of SrSb at the PBE-GGA level of DFT.

Cell: 12.9894 12.9894 4.1805 Å, 90.00 90.00 90.00°
With the nearest neighbours (Å) after each atom.
Fractional positions:
Sr1 0.0423 0.6512 0.0000  4 Sb 3.33-3.41
Sr2 0.3233 0.6171 0.5000  4 Sb 3.31-3.38
Sr3 0.3488 0.0423 0.0000  4 Sb 3.33-3.41
Sr4 0.3829 0.3233 0.5000  4 Sb 3.31-3.38
Sr5 0.6171 0.6767 0.5000  4 Sb 3.31-3.38
Sr6 0.6512 0.9577 0.0000  4 Sb 3.33-3.41
Sr7 0.6767 0.3829 0.5000  4 Sb 3.31-3.38
Sr8 0.9577 0.3488 0.0000  4 Sb 3.33-3.41
Sb1 0.1470 0.4329 0.5000  2 Sb 3.17, 4 Sr 3.31-3.41
Sb2 0.1965 0.2558 0.0000  2 Sb 3.17, 4 Sr 3.32-3.41
Sb3 0.2558 0.8035 0.0000  2 Sb 3.17, 4 Sr 3.32-3.41
Sb4 0.4329 0.8530 0.5000  2 Sb 3.17, 4 Sr 3.31-3.41
Sb5 0.5671 0.1470 0.5000  2 Sb 3.17, 4 Sr 3.31-3.41
Sb6 0.7442 0.1965 0.0000  2 Sb 3.17, 4 Sr 3.32-3.41
Sb7 0.8035 0.7442 0.0000  2 Sb 3.17, 4 Sr 3.32-3.41
Sb8 0.8530 0.5671 0.5000  2 Sb 3.17, 4 Sr 3.31-3.41

Summary:
**Raw formation energy**: -0.462 eV/atom

---

[3]
Computed, not measured: a relaxed structure of TaMoH at the PBE-GGA level of DFT.

Cell: 3.2110 3.2110 7.1442 Å, 90.00 90.00 90.00°
With the nearest neighbours (Å) after each atom.
Fractional positions:
Ta1 0.2500 0.2500 0.1626  4 H 1.98
Ta2 0.7500 0.7500 0.8374  4 H 1.98
Mo1 0.2500 0.2500 0.6071  4 Mo 2.74, 4 Ta 2.80
Mo2 0.7500 0.7500 0.3929  4 Mo 2.74, 4 Ta 2.80
H1 0.2500 0.7500 0.0000  4 Ta 1.98
H2 0.7500 0.2500 0.0000  4 Ta 1.98

Summary:
**Relative energy among the computed polymorphs**: 11 meV/atom

---

[4]
Computed, not measured: a relaxed structure of NbNiGe2Ir at the PBE-GGA level of DFT.

Cell: 4.6610 4.6610 4.5564 Å, 90.00 90.00 90.00°
With the nearest neighbours (Å) after each atom.
Fractional positions:
Nb1 0.0000 0.0000 0.0000  8 Ge 3.26, 4 Ni 3.30
Ni1 0.5000 0.5000 0.0000  2 Ir 2.28
Ge1 0.0000 0.5000 0.5000  2 Ir 2.33
Ge2 0.5000 0.0000 0.5000  2 Ir 2.33
Ir1 0.5000 0.5000 0.5000  2 Ni 2.28, 4 Ge 2.33

Summary:
**Formation energy from the elements**: 21.22 kcal/mol of atoms

---

Volume across the listed records, respectively: 9.817, 44.085, 12.277, 19.797 Å³ per atom.